Below is a relaxed structure of ZrMnCr2, with properties calculated at the PBE level.

POSCAR file:
```
ZrMnCr2
1.0
2.773 0.000 0.000
0.000 4.004 0.000
-1.067 0.000 5.092
Zr Mn Cr
1 1 2
Direct
0.000 0.000 0.000
0.500 0.000 0.500
0.237 0.500 0.698
0.763 0.500 0.302
```

Calculated values
- Space-group type: P2/m (10)
- Calculated total energy: -35.91 eV/f.u.
- Energy of formation from the pure elements: 1.05 eV per formula unit
- Magnetization: 0.0 μB/cell